## LaAlTc4 (GGA-PBE)

Data for crystalline LaAlTc4 at its relaxed geometry.

Its density of states at the Fermi level is 1.2310 states/eV per atom. The calculation puts the magnetic moment at 0.000 Bohr magnetons per cell. The calculated volume comes out at 108 Å³/cell.

The structure in extended XYZ format:
```
6
Lattice="0.000 3.785 3.785 3.785 0.000 3.785 3.785 3.785 0.000" Properties=species:S:1:pos:R:3 pbc="T T T"
La 0.000 0.000 0.000
Al 1.893 1.893 1.893
Tc 4.720 2.850 2.850
Tc 2.850 4.720 2.850
Tc 2.850 2.850 4.720
Tc 4.720 4.720 4.720
```

=====

## LaAl2Tc2 (GGA-PBE)

Data for crystalline LaAl2Tc2 at its relaxed geometry.

Its density of states at the Fermi level is 1.5593 states/eV per atom. The calculation puts the magnetic moment at 0.002 Bohr magnetons per cell. For the excess energy over the best structure of this formula in the dataset, the calculation gives 0 meV per atom. The calculated volume comes out at 99 Å³/cell.

The structure in extended XYZ format:
```
5
Lattice="-2.213 2.213 5.066 2.213 -2.213 5.066 2.213 2.213 -5.066" Properties=species:S:1:pos:R:3 pbc="T T T"
La 0.000 0.000 0.000
Al 2.213 0.000 2.533
Al 0.000 2.213 2.533
Tc 0.000 0.000 3.901
Tc 0.000 0.000 6.231
```

=====

## LaAl2Tc (GGA-PBE)

Data for crystalline LaAl2Tc at its relaxed geometry.

Its density of states at the Fermi level is 0.6367 states/eV per atom. The calculation puts the magnetic moment at 0.000 Bohr magnetons per cell. For the excess energy over the best structure of this formula in the dataset, the calculation gives 172 meV per atom. The calculated volume comes out at 86 Å³/cell.

The structure in extended XYZ format:
```
4
Lattice="-1.620 2.074 6.400 1.620 -2.074 6.400 1.620 2.074 -6.400" Properties=species:S:1:pos:R:3 pbc="T T T"
La 0.000 0.000 0.000
Al 0.000 0.000 4.496
Al 0.000 2.074 2.684
Tc 1.620 0.000 2.555
```

=====

| no. | energy of formation from the pure elements (eV/atom) |
| --- | --- |
| 1 | 0.166 |
| 2 | -0.189 |
| 3 | -0.145 |